No. 1
! TeMo2Cl, relaxed, DFT PBE; values from VASP
! ΔE_f (raw) = 0.89 eV per atom
! symmetry = I-42d
! crystal system = tetragonal
! polymorph energy (0 for the lowest one) = 3.92 eV/f.u.
&SYSTEM
  ibrav = 0, nat = 16, ntyp = 3
/
ATOMIC_SPECIES
Te 127.60 Te.upf
Mo 95.94 Mo.upf
Cl 35.45 Cl.upf
CELL_PARAMETERS angstrom
5.970 0.000 0.000
0.000 5.970 0.000
0.000 0.000 10.240
ATOMIC_POSITIONS angstrom
Te 0.000 0.000 0.000
Te 0.000 2.985 2.560
Te 2.985 0.000 7.680
Te 2.985 2.985 5.120
Mo 1.201 1.492 6.400
Mo 1.492 4.186 8.960
Mo 1.492 4.768 3.840
Mo 1.784 1.492 1.280
Mo 4.186 4.477 1.280
Mo 4.477 1.201 3.840
Mo 4.477 1.784 8.960
Mo 4.768 4.477 6.400
Cl 0.000 0.000 5.120
Cl 0.000 2.985 7.680
Cl 2.985 0.000 2.560
Cl 2.985 2.985 0.000

***

No. 2
! AgAu, relaxed, DFT PBE; values from VASP
! formation enthalpy at 0 K = 0.560 eV per atom
! symmetry = I-43m
! crystal system = cubic
&SYSTEM
  ibrav = 0, nat = 16, ntyp = 2
/
ATOMIC_SPECIES
Ag 107.87 Ag.upf
Au 196.97 Au.upf
CELL_PARAMETERS angstrom
8.366 0.000 0.000
0.000 8.366 0.000
0.000 0.000 8.366
ATOMIC_POSITIONS angstrom
Ag 1.637 1.637 1.637
Ag 1.637 6.730 6.730
Ag 2.546 2.546 5.820
Ag 2.546 5.820 2.546
Ag 5.820 2.546 2.546
Ag 5.820 5.820 5.820
Ag 6.730 1.637 6.730
Ag 6.730 6.730 1.637
Au 1.019 1.019 7.347
Au 1.019 7.347 1.019
Au 3.164 3.164 3.164
Au 3.164 5.203 5.203
Au 5.203 3.164 5.203
Au 5.203 5.203 3.164
Au 7.347 1.019 1.019
Au 7.347 7.347 7.347

***

No. 3
! ZnInI3, relaxed, DFT PBE; values from VASP
! ΔE_f (raw) = -0.52 eV per atom
! symmetry = P1
! crystal system = triclinic
! polymorph energy (0 for the lowest one) = 0.00 eV/f.u.
&SYSTEM
  ibrav = 0, nat = 10, ntyp = 3
/
ATOMIC_SPECIES
Zn 65.41 Zn.upf
In 114.82 In.upf
I 126.90 I.upf
CELL_PARAMETERS angstrom
6.353 0.000 0.000
0.192 8.533 0.000
0.201 2.006 8.294
ATOMIC_POSITIONS angstrom
Zn 0.000 0.000 0.000
Zn 0.200 4.226 5.483
In 1.041 8.569 4.452
In 5.696 4.196 1.022
I 1.731 4.188 7.733
I 1.648 3.677 3.415
I 1.846 8.404 8.248
I 4.898 0.550 2.065
I 5.097 6.361 5.529
I 5.019 2.045 6.045

***

No. 4
! U2Os3Ru3, relaxed, DFT PBE; values from VASP
! formation enthalpy at 0 K = -0.236 eV per atom
! symmetry = Pmmm
! crystal system = orthorhombic
&SYSTEM
  ibrav = 0, nat = 8, ntyp = 3
/
ATOMIC_SPECIES
U 238.03 U.upf
Os 190.23 Os.upf
Ru 101.07 Ru.upf
CELL_PARAMETERS angstrom
4.009 0.000 0.000
0.000 4.038 0.000
0.000 0.000 7.988
ATOMIC_POSITIONS angstrom
U 0.000 0.000 1.984
U 0.000 0.000 6.004
Os 0.000 2.019 3.994
Os 2.004 2.019 2.010
Os 2.004 2.019 5.978
Ru 0.000 2.019 0.000
Ru 2.004 0.000 0.000
Ru 2.004 0.000 3.994

***

No. 5
! ScMoSe, relaxed, DFT PBE; values from VASP
! ΔE_f (raw) = -0.29 eV per atom
! symmetry = P3m1
! crystal system = trigonal
! polymorph energy (0 for the lowest one) = 0.08 eV/f.u.
&SYSTEM
  ibrav = 0, nat = 3, ntyp = 3
/
ATOMIC_SPECIES
Sc 44.96 Sc.upf
Mo 95.94 Mo.upf
Se 78.96 Se.upf
CELL_PARAMETERS angstrom
3.420 0.000 0.000
-1.710 2.962 0.000
0.000 0.000 5.700
ATOMIC_POSITIONS angstrom
Sc 0.000 0.000 0.000
Mo 0.000 1.975 3.567
Se 1.710 0.987 1.976

***

No. 6
! Hf6ReRu, relaxed, DFT PBE; values from VASP
! formation enthalpy at 0 K = -0.247 eV per atom
! symmetry = I4/mmm
! crystal system = tetragonal
! polymorph energy (0 for the lowest one) = 0.00 eV/f.u.
&SYSTEM
  ibrav = 0, nat = 16, ntyp = 3
/
ATOMIC_SPECIES
Hf 178.49 Hf.upf
Re 186.21 Re.upf
Ru 101.07 Ru.upf
CELL_PARAMETERS angstrom
4.630 0.000 0.000
0.000 4.630 0.000
0.000 0.000 14.807
ATOMIC_POSITIONS angstrom
Hf 0.000 0.000 3.664
Hf 0.000 0.000 11.144
Hf 0.000 2.315 1.595
Hf 0.000 2.315 5.809
Hf 0.000 2.315 8.999
Hf 0.000 2.315 13.212
Hf 2.315 0.000 1.595
Hf 2.315 0.000 5.809
Hf 2.315 0.000 8.999
Hf 2.315 0.000 13.212
Hf 2.315 2.315 3.740
Hf 2.315 2.315 11.068
Re 0.000 0.000 0.000
Re 2.315 2.315 7.404
Ru 0.000 0.000 7.404
Ru 2.315 2.315 0.000

***

No. 7
! RbMg14Co, relaxed, DFT PBE; values from VASP
! formation enthalpy at 0 K = 0.202 eV per atom
! symmetry = P-6m2
! crystal system = hexagonal
&SYSTEM
  ibrav = 0, nat = 16, ntyp = 3
/
ATOMIC_SPECIES
Rb 85.47 Rb.upf
Mg 24.30 Mg.upf
Co 58.93 Co.upf
CELL_PARAMETERS angstrom
6.456 0.000 0.000
-3.228 5.591 0.000
0.000 0.000 10.533
ATOMIC_POSITIONS angstrom
Rb 0.000 0.000 0.000
Mg -1.563 2.825 0.000
Mg 0.000 1.818 2.978
Mg 0.000 1.818 7.555
Mg -1.653 4.682 2.978
Mg -1.653 4.682 7.555
Mg 1.563 2.825 0.000
Mg 0.000 5.532 0.000
Mg 3.228 0.079 5.267
Mg 1.683 2.756 5.267
Mg 3.228 1.864 2.514
Mg 3.228 1.864 8.019
Mg 1.653 4.682 2.978
Mg 1.653 4.682 7.555
Mg 4.774 2.756 5.267
Co 0.000 0.000 5.267

***

No. 8
! RbLa3Sb, relaxed, DFT PBE; values from VASP
! ΔE_f (raw) = 0.80 eV per atom
! symmetry = Pm-3m
! crystal system = cubic
! polymorph energy (0 for the lowest one) = 3.99 eV/f.u.
&SYSTEM
  ibrav = 0, nat = 5, ntyp = 3
/
ATOMIC_SPECIES
Rb 85.47 Rb.upf
La 138.91 La.upf
Sb 121.76 Sb.upf
CELL_PARAMETERS angstrom
5.596 0.000 0.000
0.000 5.596 0.000
0.000 0.000 5.596
ATOMIC_POSITIONS angstrom
Rb 0.000 0.000 0.000
La 0.000 0.000 2.798
La 0.000 2.798 0.000
La 2.798 0.000 0.000
Sb 2.798 2.798 2.798

***

No. 9
! Ba2EuRuO6, relaxed, DFT PBE; values from VASP
! ΔE_f (raw) = -2.20 eV per atom
! symmetry = Fm-3m
! crystal system = cubic
&SYSTEM
  ibrav = 0, nat = 10, ntyp = 4
/
ATOMIC_SPECIES
Ba 137.33 Ba.upf
Eu 151.96 Eu.upf
Ru 101.07 Ru.upf
O 16.00 O.upf
CELL_PARAMETERS angstrom
0.000 4.265 4.265
4.265 0.000 4.265
4.265 4.265 0.000
ATOMIC_POSITIONS angstrom
Ba 2.133 2.133 2.133
Ba 6.398 6.398 6.398
Eu 0.000 0.000 0.000
Ru 4.265 4.265 4.265
O 4.265 4.265 2.295
O 4.265 2.295 4.265
O 6.235 4.265 4.265
O 2.295 4.265 4.265
O 4.265 6.235 4.265
O 4.265 4.265 6.235

***

No. 10
! HfMg2GaNi, relaxed, DFT PBE; values from VASP
! formation enthalpy at 0 K = 1.483 eV per atom
! symmetry = P4/mmm
! crystal system = tetragonal
&SYSTEM
  ibrav = 0, nat = 5, ntyp = 4
/
ATOMIC_SPECIES
Hf 178.49 Hf.upf
Mg 24.30 Mg.upf
Ga 69.72 Ga.upf
Ni 58.69 Ni.upf
CELL_PARAMETERS angstrom
5.521 0.000 0.000
0.000 5.521 0.000
0.000 0.000 5.034
ATOMIC_POSITIONS angstrom
Hf 0.000 0.000 0.000
Mg 0.000 2.760 0.000
Mg 2.760 0.000 0.000
Ga 0.000 0.000 2.517
Ni 2.760 2.760 2.517

***

No. 11
! Zn2PtF, relaxed, DFT PBE; values from VASP
! ΔE_f (raw) = -0.77 eV per atom
! symmetry = I-42d
! crystal system = tetragonal
! polymorph energy (0 for the lowest one) = 0.00 eV/f.u.
&SYSTEM
  ibrav = 0, nat = 16, ntyp = 3
/
ATOMIC_SPECIES
Zn 65.41 Zn.upf
Pt 195.08 Pt.upf
F 19.00 F.upf
CELL_PARAMETERS angstrom
6.220 0.000 0.000
0.000 6.220 0.000
0.000 0.000 6.131
ATOMIC_POSITIONS angstrom
Zn 1.264 1.555 0.766
Zn 1.555 4.374 2.299
Zn 1.555 4.956 5.365
Zn 1.846 1.555 3.832
Zn 4.374 4.665 3.832
Zn 4.665 1.264 5.365
Zn 4.665 1.846 2.299
Zn 4.956 4.665 0.766
Pt 0.000 0.000 3.066
Pt 0.000 3.110 4.598
Pt 3.110 0.000 1.533
Pt 3.110 3.110 0.000
F 0.000 0.000 0.000
F 0.000 3.110 1.533
F 3.110 0.000 4.598
F 3.110 3.110 3.066

***

No. 12
! H2IrRu2, relaxed, DFT PBE; values from VASP
! symmetry = P4/mbm
! crystal system = tetragonal
! polymorph energy (0 for the lowest one) = 0.14 eV/f.u.
&SYSTEM
  ibrav = 0, nat = 10, ntyp = 3
/
ATOMIC_SPECIES
H 1.01 H.upf
Ir 192.22 Ir.upf
Ru 101.07 Ru.upf
CELL_PARAMETERS angstrom
5.956 0.000 0.000
0.000 5.956 0.000
0.000 0.000 2.831
ATOMIC_POSITIONS angstrom
H 1.297 1.681 0.000
H 1.681 4.659 0.000
H 4.275 1.297 0.000
H 4.659 4.275 0.000
Ir 0.000 0.000 0.000
Ir 2.978 2.978 0.000
Ru 0.854 3.832 1.416
Ru 2.124 0.854 1.416
Ru 3.832 5.103 1.416
Ru 5.103 2.124 1.416

***

Number 1: total magnetization 0.00 μB/atom, theoretical density 6.46 Mg/m³. Number 2: total magnetization 0.00 μB/atom, theoretical density 6.91 Mg/m³. Number 3: total magnetization 0.00 μB/atom, theoretical density 4.14 Mg/m³. Number 4: total magnetization 0.00 μB/atom, theoretical density 17.34 Mg/m³. Number 5: total magnetization 0.00 μB/atom, theoretical density 6.32 Mg/m³. Number 6: total magnetization 0.00 μB/atom, theoretical density 14.21 Mg/m³. Number 7: total magnetization 0.07 μB/atom, theoretical density 2.12 Mg/m³. Number 8: total magnetization 0.00 μB/atom, theoretical density 5.91 Mg/m³. Number 9: total magnetization 0.41 μB/atom, theoretical density 6.67 Mg/m³. Number 10: total magnetization 0.19 μB/atom, theoretical density 3.85 Mg/m³. Number 11: total magnetization 0.00 μB/atom, theoretical density 9.66 Mg/m³. Number 12: total magnetization 0.00 μB/atom, theoretical density 13.11 Mg/m³.